Material: SrMnIn2
Method: DFT, SCAN
State: PBEsol geometry

DOS(E_F)   2.64 states/eV per cell
Magnetic moment   1.111 μB per atom
ΔH_f (0 K)   -1.61 kcal/mol of atoms
Raw total energy   -107.58 eV for the cell shown

Cell and atoms, written as POSCAR:
```
SrMnIn2
1.0
3.707 0.000 0.000
0.000 3.707 0.000
0.000 0.000 7.436
In Mn Sr
2 1 1
Direct
0.000 0.000 0.045
0.500 0.500 0.286
0.000 0.000 0.430
0.500 0.500 0.738
```